The following is a PBE calculation of a relaxed structure of Hf5Re4Rh, from Alexandria.

Energy of formation   -0.48 eV per atom
Symmetry   No. 123
Crystal system   tetragonal

Lattice parameters (Å, degrees): 3.277 3.277 16.377 90.00 90.00 90.00
Atoms (fractional coordinates):
Hf  0.000  0.000  0.000
Hf  0.000  0.000  0.201
Hf  0.000  0.000  0.398
Hf  0.000  0.000  0.602
Hf  0.000  0.000  0.799
Re  0.500  0.500  0.100
Re  0.500  0.500  0.302
Re  0.500  0.500  0.698
Re  0.500  0.500  0.900
Rh  0.500  0.500  0.500